Compound: Co2BOsC
Source: the Alexandria database
Functional: GGA-PBE
Structure: relaxed

Properties
The value obtained for the formation energy is 2212 meV/atom. Its crystal system is tetragonal. Its space group is P4/mmm (123).

Cell lengths 4.6487, 3.7979, 4.6487 Å; angles 90.00, 90.00, 90.00 degrees
Closest atoms and distances in Å follow each position.
Element x y z (fractional)
Co: 0.0000 0.0000 0.5000  2 Os 2.32
Co: 0.5000 0.0000 0.0000  2 Os 2.32
C: 0.0000 0.5000 0.0000  2 Os 1.90
B: 0.5000 0.5000 0.5000  8 Co 3.00, 4 C 3.29
Os: 0.0000 0.0000 0.0000  2 C 1.90